Density functional theory data (PBE+U) for a relaxed Mg2CrO4 crystal.

Crystal system: orthorhombic
Final energy: -6.61 eV per atom

Cell lengths 5.9510, 6.0023, 8.4463 Å; angles 90.00, 90.00, 90.00 degrees
Last column: nearest neighbours and their distance in Å.
Space group Imma (No. 74)
Asymmetric unit:
Mg (0.0000, 0.2500, 0.1363) [4 per cell]  4 O 1.97-2.02
Mg (0.2500, 0.2500, 0.7500) [4 per cell]  6 O 2.07-2.10
Cr (0.0000, 0.0000, 0.5000) [4 per cell]  6 O 1.90-2.01
O (0.0000, 0.0131, 0.7243) [8 per cell]  1 Cr 1.90, 3 Mg 1.97-2.07
O (0.2238, 0.2500, 0.5021) [8 per cell]  2 Cr 2.01, 2 Mg 2.02-2.10